A relaxed TlIr2Pt crystal. Source: Alexandria via LeMat-Bulk, functional PBE.

Structure (POSCAR):
```
TlIr2Pt
1.0
-1.096 2.914 -1.270
-3.136 -0.773 0.933
0.921 2.655 5.297
Pt Ir Tl
1 2 1
Direct
0.500 0.500 0.250
0.000 0.000 0.474
0.000 0.000 0.026
0.500 0.500 0.750
```

Values from the calculation:
density of states at the Fermi level	4.83	states/eV/cell
space-group type	P4/mmm
ΔH_f (0 K)	2.0	eV per formula unit
E_tot	-24.16	eV per cell
energy above the lowest structure with this stoichiometry	172	meV per atom
magnetization	0.0	μB/f.u.

A relaxed Al2HgP crystal. Source: Alexandria via LeMat-Bulk, functional PBE.

Structure (POSCAR):
```
Al2HgP
1.0
-5.903 -3.350 -1.797
-2.368 -4.359 -4.969
4.789 1.956 4.748
Hg P Al
1 1 2
Direct
0.445 0.445 0.000
0.213 0.713 0.500
0.076 0.076 0.000
0.766 0.266 0.500
```

Values from the calculation:
density of states at the Fermi level	1.35	states/eV/cell
space-group type	Imm2
ΔH_f (0 K)	0.0	eV per formula unit
E_tot	-13.17	eV per cell
energy above the lowest structure with this stoichiometry	122	meV per atom
magnetization	0.0	μB/f.u.

A relaxed Pm12Ho3Zn crystal. Source: Alexandria via LeMat-Bulk, functional PBE.

Structure (POSCAR):
```
Pm12Ho3Zn
1.0
5.041 0.000 0.000
0.000 5.041 0.000
0.000 0.000 20.360
Pm Zn Ho
12 1 3
Direct
0.500 0.000 0.118
0.000 0.500 0.372
0.000 0.500 0.882
0.500 0.000 0.628
0.000 0.500 0.118
0.500 0.500 0.500
0.000 0.500 0.628
0.500 0.000 0.372
0.500 0.500 0.000
0.500 0.500 0.757
0.500 0.000 0.882
0.500 0.500 0.243
0.000 0.000 0.000
0.000 0.000 0.755
0.000 0.000 0.500
0.000 0.000 0.245
```

Values from the calculation:
density of states at the Fermi level	23.07	states/eV/cell
space-group type	P4/mmm
ΔH_f (0 K)	0.2	eV per formula unit
E_tot	-71.80	eV per cell
magnetization	0.0	μB/f.u.

A relaxed BaSrInBi crystal. Source: Alexandria via LeMat-Bulk, functional PBE.

Structure (POSCAR):
```
BaSrInBi
1.0
5.969 0.000 0.000
2.985 5.169 0.000
2.985 1.723 4.874
In Ba Sr Bi
1 1 1 1
Direct
0.250 0.250 0.250
0.500 0.500 0.500
0.000 0.000 0.000
0.750 0.750 0.750
```

Values from the calculation:
density of states at the Fermi level	3.96	states/eV/cell
space-group type	F-43m
ΔH_f (0 K)	-2.3	eV per formula unit
E_tot	-12.48	eV per cell
magnetization	0.0	μB/f.u.